(1)
# Hf4ZnRh (PBE-GGA, relaxed)
# **Calculated density**: 11.3 Mg/m³
# **VASP energy**: -8.13 eV per atom
data_Hf4ZnRh
_symmetry_space_group_name_H-M 'P 4/m m m'
_symmetry_Int_Tables_number 123
_symmetry_space_group_name_Hall '-P 4 2'
_cell_length_a 4.4904
_cell_length_b 4.4904
_cell_length_c 6.4476
_cell_angle_alpha 90.00
_cell_angle_beta 90.00
_cell_angle_gamma 90.00
loop_
_atom_site_label
_atom_site_fract_x
_atom_site_fract_y
_atom_site_fract_z
Hf1 0.0000 0.5000 0.2455
Zn1 0.0000 0.0000 0.5000
Rh1 0.5000 0.5000 0.0000



(2)
# HfZn11Rh (PBE-GGA, relaxed)
# **Calculated density**: 8.4 Mg/m³
# **VASP energy**: -2.56 eV per atom
data_HfZn11Rh
_symmetry_space_group_name_H-M 'C 1 2/m 1'
_symmetry_Int_Tables_number 12
_symmetry_space_group_name_Hall '-C 2y'
_cell_length_a 5.1517
_cell_length_b 12.4845
_cell_length_c 6.5928
_cell_angle_alpha 90.00
_cell_angle_beta 111.46
_cell_angle_gamma 90.00
loop_
_atom_site_label
_atom_site_fract_x
_atom_site_fract_y
_atom_site_fract_z
Hf1 0.0000 0.0000 0.0000
Zn1 0.0000 0.5000 0.5000
Zn2 0.1047 0.3946 0.2098
Zn3 0.1606 0.1730 0.3506
Zn4 0.2500 0.2500 0.0000
Rh1 0.0000 0.0000 0.5000



Question: What is the VASP energy in the second record?
Answer: -2.56 eV per atom



Question: Which of these has the highest calculated density?
Answer: Hf4ZnRh



Question: VASP energy of number 1 (Hf4ZnRh)?
Answer: -8.13 eV per atom